Entry 1:
VASP calculation (GGA-PBE) on a relaxed structure of BaRuSe2N.

a = 5.371 Å, b = 5.371 Å, c = 3.772 Å
α = 90.00°, β = 90.00°, γ = 90.00°
Element x y z (fractional)
Ba (0.000, 0.000, 0.000)
Ru (0.500, 0.500, 0.500)
Se (0.000, 0.500, 0.500)
Se (0.500, 0.000, 0.500)
N (0.500, 0.500, 0.000)

## Properties
* Fermi-level density of states: 1.1684 states/eV/atom
* total energy: -0.212 hartree per atom
* formation energy without anion corrections: -0.47 eV/atom

=====

Entry 2:
VASP calculation (GGA-PBE) on a relaxed structure of BaRuSe2N.

a = 5.927 Å, b = 5.927 Å, c = 4.487 Å
α = 90.00°, β = 90.00°, γ = 90.00°
Element x y z (fractional)
Ba (0.000, 0.000, 0.000)
Ru (0.500, 0.500, 0.500)
Se (0.000, 0.500, 0.000)
Se (0.500, 0.000, 0.000)
N (0.000, 0.000, 0.500)

## Properties
* Fermi-level density of states: 2.0710 states/eV/atom
* total energy: -0.130 hartree per atom
* formation energy without anion corrections: 1.77 eV/atom

=====

Entry 3:
VASP calculation (GGA-PBE) on a relaxed structure of Ba2SrRuN4.

a = 8.139 Å, b = 7.474 Å, c = 5.729 Å
α = 90.00°, β = 90.00°, γ = 90.00°
Element x y z (fractional)
Ba (0.238, 0.168, 0.000)
Ba (0.262, 0.832, 0.500)
Ba (0.738, 0.832, 0.500)
Ba (0.762, 0.168, 0.000)
Sr (0.000, 0.375, 0.505)
Sr (0.500, 0.625, 0.005)
Ru (0.000, 0.668, 0.055)
Ru (0.500, 0.332, 0.555)
N (0.000, 0.420, 0.996)
N (0.000, 0.678, 0.382)
N (0.195, 0.783, 0.974)
N (0.305, 0.217, 0.474)
N (0.500, 0.322, 0.882)
N (0.500, 0.580, 0.496)
N (0.695, 0.217, 0.474)
N (0.805, 0.783, 0.974)

## Properties
* Fermi-level density of states: 0.7280 states/eV/atom
* total energy: -0.232 hartree per atom
* formation energy without anion corrections: -0.31 eV/atom

=====

Entry 4:
VASP calculation (GGA-PBE) on a relaxed structure of BaTb2RuN4.

a = 6.396 Å, b = 6.396 Å, c = 12.087 Å
α = 90.00°, β = 90.00°, γ = 148.03°
Element x y z (fractional)
Ba (0.078, 0.922, 0.750)
Ba (0.922, 0.078, 0.250)
Tb (0.370, 0.630, 0.542)
Tb (0.370, 0.630, 0.958)
Tb (0.630, 0.370, 0.042)
Tb (0.630, 0.370, 0.458)
Ru (0.186, 0.814, 0.250)
Ru (0.814, 0.186, 0.750)
N (0.000, 0.000, 0.000)
N (0.000, 0.000, 0.500)
N (0.255, 0.745, 0.110)
N (0.255, 0.745, 0.390)
N (0.394, 0.606, 0.750)
N (0.606, 0.394, 0.250)
N (0.745, 0.255, 0.610)
N (0.745, 0.255, 0.890)

## Properties
* Fermi-level density of states: 0.3497 states/eV/atom
* total energy: -0.279 hartree per atom
* formation energy without anion corrections: -0.87 eV/atom

=====

Entry 5:
VASP calculation (GGA-PBE) on a relaxed structure of Ba2TcRuN.

a = 5.695 Å, b = 5.695 Å, c = 3.859 Å
α = 90.00°, β = 90.00°, γ = 90.00°
Element x y z (fractional)
Ba (0.000, 0.500, 0.000)
Ba (0.500, 0.000, 0.000)
Tc (0.000, 0.000, 0.500)
Ru (0.500, 0.500, 0.500)
N (0.000, 0.000, 0.000)

## Properties
* Fermi-level density of states: 1.7674 states/eV/atom
* total energy: -0.217 hartree per atom
* formation energy without anion corrections: 0.45 eV/atom

=====

Entry 6:
VASP calculation (GGA-PBE) on a relaxed structure of BaTeRuN2.

a = 4.267 Å, b = 4.267 Å, c = 5.516 Å
α = 90.00°, β = 90.00°, γ = 90.00°
Element x y z (fractional)
Ba (0.000, 0.000, 0.000)
Te (0.500, 0.500, 0.000)
Ru (0.500, 0.500, 0.500)
N (0.000, 0.500, 0.500)
N (0.500, 0.000, 0.500)

## Properties
* Fermi-level density of states: 0.4012 states/eV/atom
* total energy: -0.206 hartree per atom
* formation energy without anion corrections: 0.59 eV/atom

=====

Entry 7:
VASP calculation (GGA-PBE) on a relaxed structure of BaTeRuN2.

a = 4.485 Å, b = 4.485 Å, c = 7.144 Å
α = 90.00°, β = 90.00°, γ = 90.00°
Element x y z (fractional)
Ba (0.000, 0.000, 0.000)
Te (0.000, 0.000, 0.500)
Ru (0.500, 0.500, 0.500)
N (0.000, 0.500, 0.000)
N (0.500, 0.000, 0.000)

## Properties
* Fermi-level density of states: 1.6738 states/eV/atom
* total energy: -0.149 hartree per atom
* formation energy without anion corrections: 2.14 eV/atom

=====

Entry 8:
VASP calculation (GGA-PBE) on a relaxed structure of BaThRuN3.

a = 7.951 Å, b = 3.692 Å, c = 8.453 Å
α = 90.00°, β = 102.04°, γ = 90.00°
Element x y z (fractional)
Ba (0.177, 0.250, 0.182)
Ba (0.823, 0.750, 0.818)
Th (0.355, 0.750, 0.839)
Th (0.645, 0.250, 0.161)
Ru (0.055, 0.250, 0.610)
Ru (0.945, 0.750, 0.390)
N (0.137, 0.250, 0.848)
N (0.153, 0.750, 0.570)
N (0.441, 0.750, 0.125)
N (0.559, 0.250, 0.875)
N (0.847, 0.250, 0.430)
N (0.863, 0.750, 0.152)

## Properties
* Fermi-level density of states: 0.5703 states/eV/atom
* total energy: -0.293 hartree per atom
* formation energy without anion corrections: -0.70 eV/atom

=====

Entry 9:
VASP calculation (GGA-PBE) on a relaxed structure of BaTh2RuN4.

a = 6.418 Å, b = 6.418 Å, c = 12.596 Å
α = 90.00°, β = 90.00°, γ = 146.25°
Element x y z (fractional)
Ba (0.081, 0.919, 0.750)
Ba (0.919, 0.081, 0.250)
Th (0.366, 0.634, 0.552)
Th (0.366, 0.634, 0.948)
Th (0.634, 0.366, 0.052)
Th (0.634, 0.366, 0.448)
Ru (0.186, 0.814, 0.250)
Ru (0.814, 0.186, 0.750)
N (0.000, 0.000, 0.000)
N (0.000, 0.000, 0.500)
N (0.251, 0.749, 0.103)
N (0.251, 0.749, 0.397)
N (0.389, 0.611, 0.750)
N (0.611, 0.389, 0.250)
N (0.749, 0.251, 0.603)
N (0.749, 0.251, 0.897)

## Properties
* Fermi-level density of states: 0.5365 states/eV/atom
* total energy: -0.308 hartree per atom
* formation energy without anion corrections: -0.98 eV/atom

=====

Entry 10:
VASP calculation (GGA-PBE) on a relaxed structure of Ba2TiRuN.

a = 5.791 Å, b = 5.791 Å, c = 3.808 Å
α = 90.00°, β = 90.00°, γ = 90.00°
Element x y z (fractional)
Ba (0.000, 0.500, 0.000)
Ba (0.500, 0.000, 0.000)
Ti (0.000, 0.000, 0.500)
Ru (0.500, 0.500, 0.500)
N (0.500, 0.500, 0.000)

## Properties
* Fermi-level density of states: 1.5581 states/eV/atom
* total energy: -0.204 hartree per atom
* formation energy without anion corrections: 0.33 eV/atom

=====

Entry 11:
VASP calculation (GGA-PBE) on a relaxed structure of BaTlRuN2.

a = 4.201 Å, b = 4.201 Å, c = 5.897 Å
α = 90.00°, β = 90.00°, γ = 90.00°
Element x y z (fractional)
Ba (0.000, 0.000, 0.000)
Tl (0.500, 0.500, 0.000)
Ru (0.000, 0.000, 0.500)
N (0.000, 0.500, 0.500)
N (0.500, 0.000, 0.500)

## Properties
* Fermi-level density of states: 0.8214 states/eV/atom
* total energy: -0.179 hartree per atom
* formation energy without anion corrections: 1.18 eV/atom

=====

Entry 12:
VASP calculation (GGA-PBE) on a relaxed structure of Ba2TlRuN.

a = 5.969 Å, b = 5.969 Å, c = 3.844 Å
α = 90.00°, β = 90.00°, γ = 90.00°
Element x y z (fractional)
Ba (0.000, 0.500, 0.000)
Ba (0.500, 0.000, 0.000)
Tl (0.000, 0.000, 0.500)
Ru (0.500, 0.500, 0.500)
N (0.500, 0.500, 0.000)

## Properties
* Fermi-level density of states: 0.5349 states/eV/atom
* total energy: -0.185 hartree per atom
* formation energy without anion corrections: -0.28 eV/atom

=====

Entry 13:
VASP calculation (GGA-PBE) on a relaxed structure of BaURuN3.

a = 7.129 Å, b = 3.631 Å, c = 8.690 Å
α = 90.00°, β = 105.28°, γ = 90.00°
Element x y z (fractional)
Ba (0.203, 0.250, 0.238)
Ba (0.797, 0.750, 0.762)
U (0.353, 0.250, 0.839)
U (0.647, 0.750, 0.161)
Ru (0.127, 0.750, 0.566)
Ru (0.873, 0.250, 0.434)
N (0.062, 0.250, 0.659)
N (0.341, 0.750, 0.013)
N (0.404, 0.750, 0.713)
N (0.596, 0.250, 0.287)
N (0.659, 0.250, 0.987)
N (0.938, 0.750, 0.341)

## Properties
* Fermi-level density of states: 0.7977 states/eV/atom
* total energy: -0.316 hartree per atom
* formation energy without anion corrections: -0.70 eV/atom

=====

Entry 14:
VASP calculation (GGA-PBE) on a relaxed structure of BaV2RuN.

a = 3.946 Å, b = 3.946 Å, c = 5.432 Å
α = 90.00°, β = 90.00°, γ = 90.00°
Element x y z (fractional)
Ba (0.000, 0.000, 0.000)
V (0.000, 0.500, 0.500)
V (0.500, 0.000, 0.500)
Ru (0.500, 0.500, 0.000)
N (0.000, 0.000, 0.500)

## Properties
* Fermi-level density of states: 1.5980 states/eV/atom
* total energy: -0.263 hartree per atom
* formation energy without anion corrections: 0.39 eV/atom

=====

Entry 15:
VASP calculation (GGA-PBE) on a relaxed structure of Ba2ZnRuN.

a = 5.814 Å, b = 5.814 Å, c = 3.836 Å
α = 90.00°, β = 90.00°, γ = 90.00°
Element x y z (fractional)
Ba (0.000, 0.500, 0.000)
Ba (0.500, 0.000, 0.000)
Zn (0.000, 0.000, 0.500)
Ru (0.500, 0.500, 0.500)
N (0.500, 0.500, 0.000)

## Properties
* Fermi-level density of states: 0.6795 states/eV/atom
* total energy: -0.176 hartree per atom
* formation energy without anion corrections: -0.25 eV/atom

=====

Entry 16:
VASP calculation (GGA-PBE) on a relaxed structure of Ba5S2N2.

a = 7.984 Å, b = 7.984 Å, c = 8.666 Å
α = 122.67°, β = 122.67°, γ = 38.09°
Element x y z (fractional)
Ba (0.000, 0.000, 0.000)
Ba (0.123, 0.123, 0.504)
Ba (0.356, 0.356, 0.089)
Ba (0.644, 0.644, 0.911)
Ba (0.877, 0.877, 0.496)
S (0.381, 0.381, 0.732)
S (0.619, 0.619, 0.268)
N (0.108, 0.108, 0.793)
N (0.892, 0.892, 0.207)

## Properties
* total energy: -0.179 hartree per atom
* formation energy without anion corrections: -1.05 eV/atom

=====

Entry 17:
VASP calculation (GGA-PBE) on a relaxed structure of BaSN3.

a = 3.945 Å, b = 3.945 Å, c = 3.945 Å
α = 90.00°, β = 90.00°, γ = 90.00°
Element x y z (fractional)
Ba (0.000, 0.000, 0.000)
S (0.500, 0.500, 0.500)
N (0.000, 0.500, 0.500)
N (0.500, 0.000, 0.500)
N (0.500, 0.500, 0.000)

## Properties
* Fermi-level density of states: 0.5869 states/eV/atom
* total energy: -0.186 hartree per atom
* formation energy without anion corrections: 1.14 eV/atom

=====

Entry 18:
VASP calculation (GGA-PBE) on a relaxed structure of BaSN3.

a = 4.903 Å, b = 4.903 Å, c = 4.903 Å
α = 73.40°, β = 73.40°, γ = 73.40°
Element x y z (fractional)
Ba (0.000, 0.000, 0.000)
S (0.500, 0.500, 0.500)
N (0.242, 0.500, 0.758)
N (0.500, 0.758, 0.242)
N (0.758, 0.242, 0.500)

## Properties
* total energy: -0.227 hartree per atom
* formation energy without anion corrections: 0.03 eV/atom

=====

Entry 19:
VASP calculation (GGA-PBE) on a relaxed structure of Ba4S2N.

a = 8.458 Å, b = 8.458 Å, c = 7.538 Å
α = 116.09°, β = 116.09°, γ = 29.52°
Element x y z (fractional)
Ba (0.117, 0.117, 0.319)
Ba (0.382, 0.382, 0.239)
Ba (0.618, 0.618, 0.761)
Ba (0.883, 0.883, 0.681)
S (0.267, 0.267, 0.760)
S (0.733, 0.733, 0.240)
N (0.000, 0.000, 0.500)

## Properties
* Fermi-level density of states: 0.1397 states/eV/atom
* total energy: -0.172 hartree per atom
* formation energy without anion corrections: -1.21 eV/atom

=====

Entry 20:
VASP calculation (GGA-PBE) on a relaxed structure of Ba3SN.

a = 5.463 Å, b = 5.463 Å, c = 5.463 Å
α = 90.00°, β = 90.00°, γ = 90.00°
Element x y z (fractional)
Ba (0.000, 0.000, 0.500)
Ba (0.000, 0.500, 0.000)
Ba (0.500, 0.000, 0.000)
S (0.500, 0.500, 0.500)
N (0.000, 0.000, 0.000)

## Properties
* Fermi-level density of states: 0.5520 states/eV/atom
* total energy: -0.159 hartree per atom
* formation energy without anion corrections: -0.69 eV/atom